# 1
Below is a relaxed NbFeI2O crystal, with properties calculated at the PBE with a Hubbard U level.

Lattice parameters (Å, degrees): 5.600 5.600 3.661 90.00 90.00 90.00
Fractional coordinates of all 5 atoms:
Nb1 0.000 0.000 0.000
Fe1 0.500 0.500 0.500
I1 0.000 0.500 0.500
I2 0.500 0.000 0.500
O1 0.500 0.500 0.000

Values from the calculation:
electronic total energy: -4.643 eV per atom
total magnetization: 6.69 μB per cell

# 2
Below is a relaxed NbFeIO2 crystal, with properties calculated at the PBE with a Hubbard U level.

Lattice parameters (Å, degrees): 4.004 4.004 6.087 90.00 90.00 90.00
Fractional coordinates of all 5 atoms:
Nb1 0.000 0.000 0.000
Fe1 0.500 0.500 0.500
I1 0.000 0.000 0.500
O1 0.000 0.500 0.000
O2 0.500 0.000 0.000

Values from the calculation:
electronic total energy: -6.243 eV per atom
total magnetization: 3.57 μB per cell

# 3
Below is a relaxed NbFeI2O crystal, with properties calculated at the PBE with a Hubbard U level.

Lattice parameters (Å, degrees): 5.803 5.803 3.913 90.00 90.00 90.00
Fractional coordinates of all 5 atoms:
Nb1 0.000 0.000 0.000
Fe1 0.500 0.500 0.500
I1 0.000 0.500 0.000
I2 0.500 0.000 0.000
O1 0.000 0.000 0.500

Values from the calculation:
electronic total energy: -5.034 eV per atom
total magnetization: 4.92 μB per cell

# 4
Below is a relaxed NbFeIO2 crystal, with properties calculated at the PBE with a Hubbard U level.

Lattice parameters (Å, degrees): 3.965 3.965 5.538 90.00 90.00 90.00
Fractional coordinates of all 5 atoms:
Nb1 0.000 0.000 0.000
Fe1 0.500 0.500 0.500
I1 0.500 0.500 0.000
O1 0.000 0.500 0.500
O2 0.500 0.000 0.500

Values from the calculation:
electronic total energy: -5.278 eV per atom
total magnetization: 7.27 μB per cell